The following is a PBE calculation of a relaxed structure of NdEr4Cu4, from Alexandria.

Geometry as POSCAR:
```
NdEr4Cu4
1.0
8.955 0.000 0.000
0.000 8.955 0.000
0.000 0.000 5.608
Nd Er Cu
2 8 8
Cartesian
2.239 2.239 1.402 Nd
6.717 6.717 4.206 Nd
0.734 5.880 0.844 Er
1.402 8.222 3.647 Er
3.076 5.212 3.647 Er
3.744 7.553 0.844 Er
5.212 1.402 4.764 Er
5.880 3.744 1.960 Er
7.553 0.734 1.960 Er
8.222 3.076 4.764 Er
0.288 5.417 3.577 Cu
0.940 8.667 0.773 Cu
3.538 4.766 0.773 Cu
4.189 8.016 3.577 Cu
4.766 0.940 2.030 Cu
5.417 4.189 4.834 Cu
8.016 0.288 4.834 Cu
8.667 3.538 2.030 Cu
```

Output
Formation enthalpy at 0 K: -0.038 eV per atom
Space group: P4_2/n, No. 86
E: -4.42 eV per atom